Entry 1:
Computed, not measured: a crystal of Os3Pb relaxed with PBEsol at the SCAN level of DFT.

## Properties
As for the space group: No. 65. The magnetization is 0.0 μB per formula unit. For the electronic total energy, the calculation gives -71.601 eV per atom.

a = 2.8199 Å, b = 2.8199 Å, c = 9.7930 Å
α = 90.00°, β = 90.00°, γ = 119.85°
Fractional positions:
Os1 0.0000 0.0000 0.0000
Os2 0.5000 0.5000 0.2224
Os3 0.5000 0.5000 0.7776
Pb1 0.0000 0.0000 0.5000

Entry 2:
Computed, not measured: a crystal of Tl2HgAs relaxed with PBEsol at the SCAN level of DFT.

## Properties
As for the space group: No. 166. The magnetization is 0.0 μB per formula unit. For the electronic total energy, the calculation gives -58.231 eV per atom.

a = 7.2797 Å, b = 7.2797 Å, c = 7.2797 Å
α = 34.07°, β = 34.07°, γ = 34.07°
Fractional positions:
Tl1 0.2400 0.2400 0.2400
Tl2 0.7600 0.7600 0.7600
Hg1 0.0000 0.0000 0.0000
As1 0.5000 0.5000 0.5000

Entry 3:
Computed, not measured: a crystal of Ca2ReRh relaxed with PBEsol at the SCAN level of DFT.

## Properties
As for the space group: No. 47. The magnetization is 0.0 μB per formula unit. For the electronic total energy, the calculation gives -30.512 eV per atom.

a = 2.8165 Å, b = 4.4921 Å, c = 5.8905 Å
α = 90.00°, β = 90.00°, γ = 90.00°
Fractional positions:
Ca1 0.0000 0.0000 0.2450
Ca2 0.0000 0.0000 0.7550
Re1 0.5000 0.5000 0.5000
Rh1 0.5000 0.5000 0.0000

Please write out number 3 again, unchanged.
Computed, not measured: a crystal of Ca2ReRh relaxed with PBEsol at the SCAN level of DFT.

## Properties
As for the space group: No. 47. The magnetization is 0.0 μB per formula unit. For the electronic total energy, the calculation gives -30.512 eV per atom.

a = 2.8165 Å, b = 4.4921 Å, c = 5.8905 Å
α = 90.00°, β = 90.00°, γ = 90.00°
Fractional positions:
Ca1 0.0000 0.0000 0.2450
Ca2 0.0000 0.0000 0.7550
Re1 0.5000 0.5000 0.5000
Rh1 0.5000 0.5000 0.0000

- The lowest electronic total energy belongs to which entry?
  Os3Pb

- Look up the magnetization of the first one.
  0.0 μB per formula unit